Compound: TaHgRu2
Source: Alexandria
Functional: PBE
Structure: optimized geometry

Cell and atoms, written as extended XYZ:
```
4
Lattice="-0.625 -2.428 -1.328 1.806 -1.390 1.689 -6.087 -1.374 5.377" Properties=species:S:1:pos:R:3 pbc="T T T"
Ta -2.931 -0.662 2.589
Ru -0.801 -2.223 1.410
Ru -0.169 -0.038 0.149
Hg -4.048 -2.956 4.278
```

Values from the calculation:
volume: 16.57 Å³ per atom
space-group type: No. 99
energy relative to the elements: 0.206 eV/atom

***

Compound: YMgBe2Sn
Source: Alexandria
Functional: PBE
Structure: optimized geometry

Cell and atoms, written as extended XYZ:
```
5
Lattice="-3.586 -2.652 -1.283 3.008 -4.310 0.499 -1.298 -0.392 4.439" Properties=species:S:1:pos:R:3 pbc="T T T"
Mg 1.504 -2.155 0.249
Y -0.938 -3.677 1.827
Sn 0.000 0.000 0.000
Be -1.793 -1.326 -0.642
Be -0.649 -0.196 2.219
```

Values from the calculation:
volume: 22.75 Å³ per atom
space-group type: No. 123
energy relative to the elements: 0.719 eV/atom

***

Compound: Ho2PuHfAs4
Source: Alexandria
Functional: PBE
Structure: optimized geometry

Cell and atoms, written as extended XYZ:
```
8
Lattice="4.031 0.000 0.000 0.000 6.976 0.133 0.000 -2.427 6.544" Properties=species:S:1:pos:R:3 pbc="T T T"
As 2.016 3.348 5.046
As 2.016 1.201 1.631
As 0.000 -0.018 5.018
As 0.000 4.567 1.659
Pu 0.000 0.000 0.000
Ho 0.000 2.275 3.338
Ho 2.016 -1.213 3.272
Hf 2.016 3.488 0.066
```

Values from the calculation:
volume: 23.17 Å³ per atom
space-group type: No. 10
energy relative to the elements: -1.269 eV/atom

***

Compound: GaCuSnTe2
Source: Alexandria
Functional: PBE
Structure: optimized geometry

Cell and atoms, written as extended XYZ:
```
5
Lattice="-2.506 0.841 -4.685 4.233 -0.924 -2.430 -1.282 -5.218 -0.251" Properties=species:S:1:pos:R:3 pbc="T T T"
Te -0.641 -2.609 -0.125
Te -1.253 0.420 -2.343
Sn 2.117 -0.462 -1.215
Cu 0.000 0.000 0.000
Ga 0.223 -2.651 -3.683
```

Values from the calculation:
volume: 28.75 Å³ per atom
space-group type: No. 123
E_form (uncorrected): 0.239 eV per atom

***

Compound: Ca3CdPd2
Source: Alexandria
Functional: PBE
Structure: optimized geometry

Cell and atoms, written as extended XYZ:
```
6
Lattice="3.636 0.000 0.000 0.000 3.636 0.000 0.000 0.000 10.886" Properties=species:S:1:pos:R:3 pbc="T T T"
Ca 0.000 0.000 0.000
Ca 0.000 0.000 7.497
Ca 0.000 0.000 3.389
Pd 1.818 1.818 9.181
Pd 1.818 1.818 1.705
Cd 1.818 1.818 5.443
```

Values from the calculation:
volume: 23.99 Å³ per atom
space-group type: No. 123
energy above the lowest structure with this stoichiometry: 0 meV per atom
energy relative to the elements: -0.575 eV/atom

***

Compound: YTm6Zn2
Source: Alexandria
Functional: PBE
Structure: optimized geometry

Cell and atoms, written as extended XYZ:
```
9
Lattice="3.525 0.000 0.560 1.555 6.010 1.589 0.010 -0.193 11.321" Properties=species:S:1:pos:R:3 pbc="T T T"
Tm 2.335 4.579 8.051
Tm 4.563 4.250 5.401
Tm 3.203 2.935 2.588
Tm 0.526 1.568 8.068
Tm 1.886 2.882 10.881
Tm 2.754 1.238 5.418
Zn 1.377 0.531 2.709
Zn 3.712 5.287 10.760
Y 0.000 0.000 0.000
```

Values from the calculation:
volume: 26.74 Å³ per atom
space-group type: No. 12
energy relative to the elements: -0.147 eV/atom

***

Compound: Sr6ZnPb5
Source: Alexandria
Functional: PBE
Structure: optimized geometry

Cell and atoms, written as extended XYZ:
```
12
Lattice="5.575 -0.033 1.858 0.042 7.946 0.014 -0.004 -0.016 9.306" Properties=species:S:1:pos:R:3 pbc="T T T"
Sr 0.950 5.993 6.550
Sr 2.798 1.941 0.933
Sr 4.686 5.977 4.635
Sr 2.820 5.972 0.940
Sr 4.664 1.903 4.627
Sr 0.928 1.920 6.543
Zn 0.000 0.000 0.000
Pb 1.886 -0.016 3.636
Pb 1.877 3.956 3.733
Pb 0.021 3.973 0.007
Pb 3.686 -0.033 7.528
Pb 3.737 3.940 7.445
```

Values from the calculation:
volume: 34.36 Å³ per atom
space-group type: No. 65
energy relative to the elements: -0.479 eV/atom

***

Compound: Ge3Os2
Source: Alexandria
Functional: PBE
Structure: optimized geometry

Cell and atoms, written as extended XYZ:
```
20
Lattice="5.820 0.000 0.000 0.000 5.820 0.000 0.000 0.000 9.362" Properties=species:S:1:pos:R:3 pbc="T T T"
Ge 3.781 1.267 8.567
Ge 2.039 1.267 3.887
Ge 1.267 2.039 0.794
Ge 2.039 4.553 8.567
Ge 4.824 0.996 2.340
Ge 4.553 3.781 0.794
Ge 3.781 4.553 3.887
Ge 1.267 3.781 5.475
Ge 4.553 2.039 5.475
Ge 0.996 4.824 2.340
Ge 0.996 0.996 7.021
Ge 4.824 4.824 7.021
Os 2.910 2.910 7.021
Os 0.000 0.000 4.681
Os 2.910 2.910 2.340
Os 0.000 0.000 0.000
Os 2.910 0.000 1.162
Os 2.910 0.000 5.843
Os 0.000 2.910 8.199
Os 0.000 2.910 3.519
```

Values from the calculation:
volume: 15.86 Å³ per atom
space-group type: No. 116
energy above the lowest structure with this stoichiometry: 8 meV per atom
energy relative to the elements: -0.065 eV/atom

***

Compound: LiTm2Pt9
Source: Alexandria
Functional: PBE
Structure: optimized geometry

Cell and atoms, written as extended XYZ:
```
12
Lattice="-3.922 0.986 0.007 -0.357 -1.445 3.760 2.724 10.801 4.409" Properties=species:S:1:pos:R:3 pbc="T T T"
Pt 0.239 0.934 2.557
Pt -0.309 7.030 4.847
Pt 0.345 9.638 3.736
Pt -0.599 5.894 2.208
Pt -1.247 3.312 3.329
Pt -1.543 2.150 0.680
Pt -2.140 -0.229 1.884
Pt 2.127 8.422 5.613
Pt 1.183 4.678 4.085
Li 0.000 0.000 0.000
Tm 0.888 3.521 1.437
Tm 1.836 7.280 2.972
```

Values from the calculation:
volume: 16.33 Å³ per atom
space-group type: No. 123
energy relative to the elements: -0.835 eV/atom

***

Compound: Si2BI
Source: Alexandria
Functional: PBE
Structure: optimized geometry

Cell and atoms, written as extended XYZ:
```
4
Lattice="3.551 -0.011 -0.007 -0.061 4.128 -0.025 -1.601 -0.320 5.765" Properties=species:S:1:pos:R:3 pbc="T T T"
Si 0.541 2.005 1.327
Si 2.322 0.380 1.642
I 0.371 3.191 4.677
B 0.479 3.728 2.373
```

Values from the calculation:
volume: 21.11 Å³ per atom
space-group type: No. 1
energy above the lowest structure with this stoichiometry: 179 meV per atom
E_form (uncorrected): 0.595 eV per atom

***

Compound: GeBi2Se
Source: Alexandria
Functional: PBE
Structure: optimized geometry

Cell and atoms, written as extended XYZ:
```
8
Lattice="7.001 0.000 0.000 0.000 7.001 0.000 3.501 3.501 6.131" Properties=species:S:1:pos:R:3 pbc="T T T"
Ge 3.501 3.501 0.000
Ge 3.501 7.001 3.066
Bi 5.153 1.750 1.533
Bi 5.251 5.348 4.599
Bi 1.848 5.251 1.533
Bi 8.752 8.654 4.599
Se 7.001 3.501 3.066
Se 0.000 0.000 0.000
```

Values from the calculation:
volume: 37.57 Å³ per atom
space-group type: No. 122
energy above the lowest structure with this stoichiometry: 12 meV per atom
E_form (uncorrected): 0.168 eV per atom

***

Compound: Rb3PuCu2O8
Source: Alexandria
Functional: PBE
Structure: optimized geometry

Cell and atoms, written as extended XYZ:
```
14
Lattice="5.948 0.000 0.000 -2.974 5.151 0.000 0.000 0.000 8.085" Properties=species:S:1:pos:R:3 pbc="T T T"
O 0.000 3.434 0.327
O 0.000 1.645 2.860
O 2.974 3.506 5.225
O 1.425 0.823 5.225
O 2.974 1.717 7.759
O 1.549 4.328 2.860
O 4.523 0.823 5.225
O -1.549 4.328 2.860
Cu 0.000 3.434 2.095
Cu 2.974 1.717 5.990
Pu 0.000 0.000 4.043
Rb 0.000 0.000 0.000
Rb 0.000 3.434 5.639
Rb 2.974 1.717 2.447
```

Values from the calculation:
volume: 17.69 Å³ per atom
space-group type: No. 164
E_form (uncorrected): -1.342 eV per atom